Material: Al2MoPb
Method: DFT, GGA-PBE
State: optimized geometry

a b c (Å): 5.1665 5.1665 5.0127
angles (deg): 83.68 83.68 34.07
Closest atoms and distances in Å follow each position.
Sites, in units of the cell vectors:
Pb 0.2500 0.2500 0.2500  6 Al 2.87-3.20, 4 Mo 2.93, 2 Pb 3.03
Mo 0.7500 0.7500 0.7500  6 Al 2.89-2.94, 4 Pb 2.93, 2 Mo 3.03
Al 0.0137 0.0137 0.9677  2 Al 2.70, 1 Pb 2.87, 3 Mo 2.89-2.94
Al 0.4863 0.4863 0.5323  2 Al 2.70, 1 Pb 2.87, 3 Mo 2.89-2.94

## Properties
Calculated formation energy = 0.35 eV per atom